A:
TiNbSb2 PBE-GGA optimized geometry; V = 22.24 A^3/atom
1.0
1.977 1.141 6.570
-1.977 1.141 6.570
0.000 -2.283 6.570
Ti Nb Sb
1 1 2
Direct
0.000 0.000 0.000
0.500 0.500 0.500
0.252 0.252 0.252
0.748 0.748 0.748

***

B:
TiNbSb2 PBE-GGA optimized geometry; V = 19.90 A^3/atom
1.0
4.826 0.000 0.000
0.000 4.826 0.000
0.000 0.000 3.417
Ti Nb Sb
1 1 2
Direct
0.000 0.000 0.000
0.500 0.500 0.000
0.000 0.500 0.500
0.500 0.000 0.500

***

C:
TiNbSb2 PBE-GGA optimized geometry; V = 19.90 A^3/atom
1.0
0.000 3.414 3.414
3.414 0.000 3.414
3.414 3.414 0.000
Ti Nb Sb
1 1 2
Direct
0.000 0.000 0.000
0.500 0.500 0.500
0.250 0.250 0.250
0.750 0.750 0.750

***

Name the most stable of them. C.

***

A:
Ti4NbSb PBE-GGA optimized geometry; V = 17.70 A^3/atom
1.0
-2.334 2.786 4.083
2.334 -2.786 4.083
2.334 2.786 -4.083
Ti Nb Sb
4 1 1
Direct
0.082 0.836 0.246
0.410 0.164 0.246
0.590 0.836 0.754
0.918 0.164 0.754
0.000 0.500 0.500
0.500 0.500 0.000

***

B:
Ti4NbSb PBE-GGA optimized geometry; V = 21.08 A^3/atom
1.0
2.248 1.298 7.223
-2.248 1.298 7.223
0.000 -2.596 7.223
Ti Nb Sb
4 1 1
Direct
0.117 0.117 0.117
0.368 0.368 0.368
0.632 0.632 0.632
0.883 0.883 0.883
0.000 0.000 0.000
0.500 0.500 0.500

***

Name the most stable of them. A.

***

A:
Ti3NbSb2 PBE-GGA optimized geometry; V = 19.18 A^3/atom
1.0
7.166 0.000 0.000
0.000 3.588 0.000
0.000 0.000 17.902
Ti Nb Sb
12 4 8
Direct
0.026 0.250 0.143
0.132 0.250 0.295
0.141 0.750 0.032
0.359 0.250 0.532
0.368 0.750 0.795
0.474 0.750 0.643
0.526 0.250 0.357
0.632 0.250 0.205
0.641 0.750 0.468
0.859 0.250 0.968
0.868 0.750 0.705
0.974 0.750 0.857
0.059 0.750 0.561
0.441 0.250 0.061
0.559 0.750 0.939
0.941 0.250 0.439
0.181 0.250 0.687
0.244 0.250 0.914
0.256 0.750 0.414
0.319 0.750 0.187
0.681 0.250 0.813
0.744 0.250 0.586
0.756 0.750 0.086
0.819 0.750 0.313

***

B:
Ti3NbSb2 PBE-GGA optimized geometry; V = 20.05 A^3/atom
1.0
-1.519 2.498 7.926
1.519 -2.498 7.926
1.519 2.498 -7.926
Ti Nb Sb
3 1 2
Direct
0.000 0.000 0.000
0.326 0.826 0.500
0.674 0.174 0.500
0.500 0.000 0.500
0.150 0.650 0.500
0.850 0.350 0.500

***

Name the most stable of them. A.

***

A:
NbTlSb2 PBE-GGA optimized geometry; V = 38.00 A^3/atom
1.0
-3.409 3.409 6.538
3.409 -3.409 6.538
3.409 3.409 -6.538
Nb Tl Sb
2 2 4
Direct
0.000 0.000 0.000
0.750 0.250 0.500
0.250 0.750 0.500
0.500 0.500 0.000
0.060 0.625 0.935
0.375 0.310 0.435
0.690 0.125 0.065
0.875 0.940 0.565

***

B:
NbTlSb2 PBE-GGA optimized geometry; V = 26.76 A^3/atom
1.0
1.708 0.986 10.589
-1.708 0.986 10.589
0.000 -1.972 10.589
Nb Tl Sb
1 1 2
Direct
0.000 0.000 0.000
0.500 0.500 0.500
0.268 0.268 0.268
0.732 0.732 0.732

***

Name the most stable of them. B.

***

A:
Nb2TlSb PBE-GGA optimized geometry; V = 22.64 A^3/atom
1.0
-2.099 2.099 10.277
2.099 -2.099 10.277
2.099 2.099 -10.277
Nb Tl Sb
4 2 2
Direct
0.110 0.625 0.985
0.375 0.360 0.485
0.640 0.125 0.015
0.875 0.890 0.515
0.000 0.000 0.000
0.750 0.250 0.500
0.250 0.750 0.500
0.500 0.500 0.000

***

B:
Nb2TlSb PBE-GGA optimized geometry; V = 20.22 A^3/atom
1.0
0.000 3.432 3.432
3.432 0.000 3.432
3.432 3.432 0.000
Nb Tl Sb
2 1 1
Direct
0.250 0.250 0.250
0.750 0.750 0.750
0.000 0.000 0.000
0.500 0.500 0.500

***

Name the most stable of them. B.

***

A:
Nb3TlSb PBE-GGA optimized geometry; V = 26.75 A^3/atom
1.0
5.114 0.000 0.000
0.000 5.114 0.000
0.000 0.000 5.114
Nb Tl Sb
3 1 1
Direct
0.000 0.000 0.500
0.000 0.500 0.000
0.500 0.000 0.000
0.000 0.000 0.000
0.500 0.500 0.500

***

B:
Nb3TlSb PBE-GGA optimized geometry; V = 26.04 A^3/atom
1.0
5.068 0.000 0.000
0.000 5.068 0.000
0.000 0.000 5.068
Nb Tl Sb
3 1 1
Direct
0.000 0.000 0.500
0.000 0.500 0.000
0.500 0.000 0.000
0.500 0.500 0.500
0.000 0.000 0.000

***

Name the most stable of them. B.